Below is a relaxed structure of CrTc2Pt, with properties calculated at the PBE level.

Unit cell a=3.8052 b=3.8054 c=3.9131 alpha=90.00 beta=90.00 gamma=90.00
Sites, in units of the cell vectors:
Cr1 0.5000 0.0000 0.5000
Pt1 0.0000 0.5000 0.5000
Tc1 0.0000 0.0000 0.0000
Tc2 0.5000 0.5000 0.0000

The value obtained for the formation energy is -0.10 eV/atom. As for the total energy: -9.197 eV per atom. The offset from the most stable computed form comes out at 0 meV/atom. The calculation puts the density of states at the Fermi level at 3.61 states/eV/cell. As for the space group: P4/mmm, No. 123.